# TlAs

Crystalline TlAs at its relaxed geometry (GGA-PBE, the Alexandria database).

```
TlAs
1.0
3.686 0.000 0.000
0.000 3.686 0.000
0.000 0.000 3.686
Tl As
1 1
direct
0.000 0.000 0.000
0.500 0.500 0.500
```

For the formation energy, the calculation gives 339 meV/atom. Its magnetization is 0.00 μB per atom.

# Tl5As

Crystalline Tl5As at its relaxed geometry (GGA-PBE, the Alexandria database).

```
Tl5As
1.0
6.084 0.000 0.000
-3.042 5.269 0.000
0.000 0.000 5.496
Tl As
5 1
direct
0.000 0.684 0.000
0.316 0.316 0.000
0.333 0.667 0.500
0.667 0.333 0.500
0.684 0.000 0.000
0.000 0.000 0.500
```

For the formation energy, the calculation gives 70 meV/atom. Its magnetization is 0.00 μB per atom. Its distance to the lowest polymorph of the same formula is 0.040 eV/atom.

# TlAs3

Crystalline TlAs3 at its relaxed geometry (GGA-PBE, the Alexandria database).

```
TlAs3
1.0
5.272 3.044 0.929
-5.272 3.044 0.929
0.000 -6.087 0.929
Tl As
1 3
direct
0.000 0.000 0.000
0.000 0.500 0.500
0.500 0.000 0.500
0.500 0.500 0.000
```

For the formation energy, the calculation gives 421 meV/atom. Its magnetization is 0.00 μB per atom. Its distance to the lowest polymorph of the same formula is 0.263 eV/atom.

# TlAs

Crystalline TlAs at its relaxed geometry (GGA-PBE, the Alexandria database).

```
TlAs
1.0
4.606 0.000 0.000
-2.303 3.989 0.000
0.000 0.000 19.792
Tl As
6 6
direct
0.000 0.000 0.102
0.000 0.000 0.898
0.333 0.667 0.228
0.333 0.667 0.432
0.667 0.333 0.568
0.667 0.333 0.772
0.000 0.000 0.315
0.000 0.000 0.685
0.333 0.667 0.655
0.333 0.667 0.985
0.667 0.333 0.015
0.667 0.333 0.345
```

For the formation energy, the calculation gives 114 meV/atom. Its magnetization is 0.00 μB per atom.

# TlAs

Crystalline TlAs at its relaxed geometry (GGA-PBE, the Alexandria database).

```
TlAs
1.0
3.474 0.000 0.000
0.000 18.160 0.000
0.000 0.000 5.531
Tl As
6 6
direct
0.250 0.088 0.002
0.250 0.412 0.002
0.250 0.750 0.483
0.750 0.250 0.517
0.750 0.588 0.998
0.750 0.912 0.998
0.250 0.250 0.026
0.250 0.547 0.500
0.250 0.953 0.500
0.750 0.047 0.500
0.750 0.453 0.500
0.750 0.750 0.974
```

For the formation energy, the calculation gives 109 meV/atom. Its magnetization is 0.00 μB per atom.

# TlAs3

Crystalline TlAs3 at its relaxed geometry (GGA-PBE, the Alexandria database).

```
TlAs3
1.0
6.648 0.000 0.000
-3.324 5.758 0.000
0.000 0.000 5.585
Tl As
2 6
direct
0.333 0.667 0.250
0.667 0.333 0.750
0.127 0.253 0.750
0.127 0.873 0.750
0.253 0.127 0.250
0.747 0.873 0.750
0.873 0.127 0.250
0.873 0.747 0.250
```

For the formation energy, the calculation gives 230 meV/atom. Its magnetization is 0.00 μB per atom. Its distance to the lowest polymorph of the same formula is 0.071 eV/atom.